Record 1
{
  "formula": "Li2Ti2As2N",
  "functional": "PBE",
  "state": "relaxed",
  "lattice": [[4.0433, 0.0000, 0.0000], [0.0000, 4.0433, 0.0000], [0.0000, 0.0000, 13.6129]],
  "species": ["Li", "Li", "Li", "Li", "Ti", "Ti", "Ti", "Ti", "As", "As", "As", "As", "N", "N"],
  "frac_coords": [[0.0000, 0.0000, 0.1694], [0.0000, 0.0000, 0.8306], [0.5000, 0.5000, 0.3306], [0.5000, 0.5000, 0.6694], [0.0000, 0.5000, 0.0000], [0.0000, 0.5000, 0.5000], [0.5000, 0.0000, 0.0000], [0.5000, 0.0000, 0.5000], [0.0000, 0.0000, 0.3656], [0.0000, 0.0000, 0.6344], [0.5000, 0.5000, 0.1344], [0.5000, 0.5000, 0.8656], [0.0000, 0.0000, 0.0000], [0.5000, 0.5000, 0.5000]],
  "dft_energy_ev_per_atom": -6.29,
  "formation_energy_uncorrected_mev_per_atom": -975,
  "magmom_total_mub_per_cell": 1.4
}

=====

Record 2
{
  "formula": "LiUAsN",
  "functional": "PBE",
  "state": "relaxed",
  "lattice": [[3.8230, 0.0000, 0.0000], [0.0000, 3.8230, 0.0000], [0.0000, 0.0000, 8.8124]],
  "species": ["Li", "Li", "U", "U", "As", "As", "N", "N"],
  "frac_coords": [[0.2500, 0.7500, 0.0000], [0.7500, 0.2500, 0.0000], [0.2500, 0.2500, 0.3652], [0.7500, 0.7500, 0.6348], [0.2500, 0.2500, 0.8040], [0.7500, 0.7500, 0.1960], [0.2500, 0.7500, 0.5000], [0.7500, 0.2500, 0.5000]],
  "dft_energy_ev_per_atom": -7.62,
  "formation_energy_uncorrected_mev_per_atom": -1074,
  "magmom_total_mub_per_cell": 2.0
}